First-principles (PBE) data for crystalline LiPr2Cu at its relaxed geometry, as listed in the Alexandria database.

Computed properties:
The total energy comes out at -3.76 eV per atom. The formation energy comes out at 0.13 eV/atom. The energy above the most stable polymorph in this dataset is 143.4 meV per atom.

Lattice parameters (Å, degrees): 3.6281 3.6281 10.1886 79.74 79.74 60.00
With the nearest neighbours (Å) after each atom.
Positions (direct):
Li  0.4994  0.4994  0.5018  6 Pr 3.54-3.58, 6 Li 3.63
Pr  0.0708  0.0708  0.7875  3 Cu 2.98
Pr  0.2629  0.2629  0.2112  3 Cu 2.97
Cu  0.6668  0.6668  0.9995  6 Pr 2.97-2.98

First-principles (PBE) data for crystalline Mn2ZnAg at its relaxed geometry, as listed in the Alexandria database.

Computed properties:
The total energy comes out at -5.33 eV per atom. The formation energy comes out at 0.28 eV/atom.

Lattice parameters (Å, degrees): 9.0764 9.0764 9.0764 17.94 17.94 17.94
With the nearest neighbours (Å) after each atom.
Positions (direct):
Ag  0.7500  0.7500  0.7500  6 Ag 2.83, 6 Mn 2.85
Mn  0.9960  0.9960  0.9960  3 Zn 2.68, 6 Mn 2.83, 3 Ag 2.85
Mn  0.5040  0.5040  0.5040  3 Zn 2.68, 6 Mn 2.83, 3 Ag 2.85
Zn  0.2500  0.2500  0.2500  6 Mn 2.68, 6 Zn 2.83

First-principles (PBE) data for crystalline Sr2ScF2 at its relaxed geometry, as listed in the Alexandria database.

Computed properties:
The value obtained for the raw formation energy is -2.065 eV/atom. The total energy comes out at -4.75 eV per atom. The energy above the most stable polymorph in this dataset is 0.0 meV per atom.

Lattice parameters (Å, degrees): 3.9782 3.9782 9.1429 77.43 77.43 90.00
With the nearest neighbours (Å) after each atom.
Positions (direct):
Sc  0.0000  0.0000  0.0000  4 Sc 3.98, 8 Sr 4.01
Sr  0.3358  0.3358  0.3284  4 F 2.49
Sr  0.6642  0.6642  0.6716  4 F 2.49
F  0.7500  0.2500  0.5000  4 Sr 2.49
F  0.2500  0.7500  0.5000  4 Sr 2.49